# 1
Density functional theory data (GGA-PBE) for an optimized crystal structure of TmNiB.

Cell: 4.479 4.479 5.400 Å, 105.01 105.01 112.06°
Fractional positions:
1 B 0.608 0.392 0.000
2 B 0.358 0.642 0.500
3 Tm 0.704 0.296 0.500
4 Tm 0.954 0.046 0.000
5 Ni 0.345 0.655 0.000
6 Ni 0.095 0.905 0.500

Values from the calculation:
polymorph energy (0 for the lowest one) = 1.73 eV/f.u.
uncorrected energy = -5.48 eV per atom
DFT formation energy = 0.1597 eV/atom
SG = No. 43



# 2
Density functional theory data (GGA-PBE) for an optimized crystal structure of LiGa2Pb.

Cell: 4.335 4.335 9.979 Å, 77.46 77.46 90.00°
Fractional positions:
1 Li 0.500 0.500 0.000
2 Li 0.250 0.750 0.500
3 Ga 0.202 0.625 0.250
4 Ga 0.548 0.125 0.250
5 Ga 0.875 0.798 0.750
6 Ga 0.375 0.452 0.750
7 Pb 0.750 0.250 0.500
8 Pb 0.000 0.000 0.000

Values from the calculation:
uncorrected energy = -2.92 eV per atom
DFT formation energy = -0.0009 eV/atom
SG = No. 122



# 3
Density functional theory data (GGA-PBE) for an optimized crystal structure of InAg2Cl.

Cell: 5.013 5.013 5.013 Å, 60.00 60.00 60.00°
Fractional positions:
1 In 0.500 0.500 0.500
2 Cl 0.000 0.000 0.000
3 Ag 0.250 0.250 0.250
4 Ag 0.750 0.750 0.750

Values from the calculation:
uncorrected energy = -2.46 eV per atom
raw formation energy = 0.5 eV per formula unit
SG = No. 225



# 4
Density functional theory data (GGA-PBE) for an optimized crystal structure of BaYZr2.

Cell: 5.510 5.510 5.510 Å, 60.00 60.00 60.00°
Fractional positions:
1 Y 0.000 0.000 0.000
2 Zr 0.750 0.750 0.750
3 Zr 0.250 0.250 0.250
4 Ba 0.500 0.500 0.500

Values from the calculation:
polymorph energy (0 for the lowest one) = 1.61 eV/f.u.
uncorrected energy = -5.70 eV per atom
DFT formation energy = 0.6755 eV/atom
SG = No. 225



| no. | calculated density (Mg/m³) |
| --- | --- |
| 1 | 8.9 |
| 2 | 6.6 |
| 3 | 6.8 |
| 4 | 5.7 |